# 1
Density functional theory data (PBE-GGA) for a relaxed CeSm12Ho5 crystal.

Calculated values
D(E_F) in states/eV/f.u.: 29.1
E in eV per atom: -4.716

Geometry as POSCAR:
```
CeSm12Ho5
1.0
-3.2326 13.9363 5.3128
-8.4382 6.6736 -0.7349
-1.9978 -2.0639 4.1980
Ce Sm Ho
1 12 5
Direct
0.0000 0.0000 0.0000
0.8360 0.0000 0.5002
0.1641 0.0000 0.4998
0.6654 0.0000 0.0002
0.3346 0.0000 0.9998
0.3317 0.6672 0.9999
0.0010 0.6673 0.0001
0.9990 0.3327 0.9999
0.6683 0.3328 0.0001
0.4990 0.3321 0.5001
0.8312 0.6678 0.5001
0.1688 0.3323 0.4999
0.5010 0.6679 0.4999
0.5000 0.0000 0.5000
0.1658 0.6684 0.5000
0.8342 0.3316 0.5000
0.6668 0.6664 0.0000
0.3332 0.3336 0.0000
```



# 2
Density functional theory data (PBE-GGA) for a relaxed CeSm6Ho4 crystal.

Calculated values
D(E_F) in states/eV/f.u.: 23.0
E in eV per atom: -4.633

Geometry as POSCAR:
```
CeSm6Ho4
1.0
5.8210 0.0000 0.0000
-2.9105 4.8041 0.0000
0.0000 0.0000 25.8147
Ce Sm Ho
2 12 8
Direct
0.7890 0.5781 0.2500
0.2110 0.4219 0.7500
0.5000 0.0000 0.0000
0.5000 0.0000 0.5000
0.1201 0.2402 0.3193
0.8799 0.7598 0.6807
0.8799 0.7598 0.8193
0.1201 0.2402 0.1807
0.7971 0.5941 0.3993
0.2029 0.4059 0.6007
0.2029 0.4059 0.8993
0.7971 0.5941 0.1007
0.4517 0.9034 0.2500
0.5483 0.0966 0.7500
0.8498 0.6995 0.5426
0.4528 0.9055 0.1231
0.1502 0.3005 0.4574
0.5472 0.0945 0.8769
0.8498 0.6995 0.9574
0.1502 0.3005 0.0426
0.5472 0.0945 0.6231
0.4528 0.9055 0.3769
```



# 3
Density functional theory data (PBE-GGA) for a relaxed CeSmHo2 crystal.

Calculated values
D(E_F) in states/eV/f.u.: 7.5
Relative energy among the computed polymorphs in meV per atom: 158

Geometry as POSCAR:
```
CeSmHo2
1.0
3.4109 0.0000 0.0000
1.7054 2.9539 0.0000
1.7054 0.9846 12.3400
Ce Ho Sm
1 2 1
Direct
0.0000 0.0000 0.0000
0.0879 0.0879 0.7362
0.9121 0.9121 0.2638
0.5000 0.5000 0.5000
```



# 4
Density functional theory data (PBE-GGA) for a relaxed CeSm4Ho3 crystal.

Calculated values
D(E_F) in states/eV/f.u.: 15.9
E in eV per atom: -4.624

Geometry as POSCAR:
```
CeSm4Ho3
1.0
-3.3332 0.6414 -0.5126
-1.5322 -6.3131 2.0641
1.5100 6.4972 9.8044
Sm Ce Ho
4 1 3
Direct
0.7413 0.2372 0.4825
0.2587 0.7628 0.5175
0.1230 0.3654 0.2461
0.8770 0.6346 0.7539
0.5000 0.0000 0.0000
0.0000 0.5000 0.0000
0.1234 0.8819 0.2467
0.8766 0.1181 0.7533
```



# 5
Density functional theory data (PBE-GGA) for a relaxed CeSm12Ho2 crystal.

Calculated values
D(E_F) in states/eV/f.u.: 25.0
E in eV per atom: -4.659

Geometry as POSCAR:
```
CeSm12Ho2
1.0
6.5540 1.5077 -0.3787
1.5077 6.5540 0.3787
-1.8503 1.8503 25.0133
Ce Sm Ho
2 24 4
Direct
0.4399 0.0601 0.9981
0.0601 0.4399 0.0019
0.6062 0.4076 0.8007
0.0924 0.8938 0.8007
0.9043 0.5957 0.8696
0.4495 0.5643 0.9290
0.0077 0.0146 0.3271
0.0505 0.9357 0.0710
0.6582 0.3258 0.5562
0.4854 0.4923 0.3271
0.3889 0.1111 0.8616
0.5957 0.9043 0.1304
0.1605 0.3395 0.5685
0.8418 0.1742 0.4438
0.0146 0.0077 0.6729
0.3395 0.1605 0.4315
0.1111 0.3889 0.1384
0.8084 0.6916 0.4137
0.6916 0.8084 0.5863
0.8938 0.0924 0.1993
0.1742 0.8418 0.5562
0.4923 0.4854 0.6729
0.9357 0.0505 0.9290
0.4076 0.6062 0.1993
0.3258 0.6582 0.4438
0.5643 0.4495 0.0710
0.4603 0.0397 0.2685
0.9449 0.5551 0.2691
0.0397 0.4603 0.7315
0.5551 0.9449 0.7309
```



# 6
Density functional theory data (PBE-GGA) for a relaxed Ce2Sm12Ho5 crystal.

Calculated values
D(E_F) in states/eV/f.u.: 29.7
E in eV per atom: -4.673

Geometry as POSCAR:
```
Ce2Sm12Ho5
1.0
9.2106 0.0000 0.0000
-4.6053 11.3185 -1.7219
0.0000 -5.3906 6.8518
Ce Sm Ho
2 12 5
Direct
0.6477 0.0000 0.0000
0.3523 0.0000 0.0000
0.0697 0.1394 0.2612
0.0337 0.7076 0.9448
0.6739 0.7076 0.9448
0.1720 0.7354 0.4268
0.5633 0.7354 0.4268
0.5603 0.1206 0.7747
0.4397 0.8794 0.2253
0.8280 0.2646 0.5732
0.4367 0.2646 0.5732
0.9663 0.2924 0.0552
0.3261 0.2924 0.0552
0.9303 0.8606 0.7388
0.2874 0.5748 0.6181
0.2313 0.4627 0.8982
0.0000 0.0000 0.5000
0.7687 0.5373 0.1018
0.7126 0.4252 0.3819
```



# 7
Density functional theory data (PBE-GGA) for a relaxed CeSm12Ho6 crystal.

Calculated values
D(E_F) in states/eV/f.u.: 29.4
E in eV per atom: -4.710

Geometry as POSCAR:
```
CeSm12Ho6
1.0
8.9791 -0.6143 -3.0640
-4.0951 8.0145 -3.0640
-0.4054 -0.6143 9.4788
Ce Sm Ho
1 12 6
Direct
0.0000 0.0000 0.0000
0.3712 0.0562 0.5795
0.0562 0.5795 0.3712
0.5795 0.3712 0.0562
0.6288 0.9438 0.4205
0.9438 0.4205 0.6288
0.4205 0.6288 0.9438
0.1049 0.1570 0.7390
0.2610 0.8951 0.8430
0.8430 0.2610 0.8951
0.8951 0.8430 0.2610
0.7390 0.1049 0.1570
0.1570 0.7390 0.1049
0.2116 0.3157 0.4712
0.6843 0.5288 0.7884
0.5288 0.7884 0.6843
0.7884 0.6843 0.5288
0.3157 0.4712 0.2116
0.4712 0.2116 0.3157
```



# 8
Density functional theory data (PBE-GGA) for a relaxed CeSmHo2 crystal.

Calculated values
D(E_F) in states/eV/f.u.: 8.0
Relative energy among the computed polymorphs in meV per atom: 20

Geometry as POSCAR:
```
CeSmHo2
1.0
3.5479 0.0000 0.0000
1.7740 3.0726 0.0000
1.7740 1.0242 11.4508
Ce Sm Ho
1 1 2
Direct
0.6664 0.6664 0.0009
0.5005 0.5005 0.4984
0.0813 0.0813 0.7562
0.2518 0.2518 0.2445
```